## Eu2CdBr (GGA-PBE)

Data for a relaxed structure of Eu2CdBr.

Lattice parameters (Å, degrees): 3.7960 3.7960 8.5574 90.00 90.00 90.00
Space group P4/mmm (No. 123)
Unique sites:
Eu1 0.0000 0.0000 0.2388 [2 per cell]
Cd1 0.5000 0.5000 0.0000 [1 per cell]
Br1 0.5000 0.5000 0.5000 [1 per cell]

Calculated values
- formation energy from raw total energies (eV/f.u.) = -3.19
- M_tot (μB per atom) = 3.687
- Fermi-level density of states (states/eV/f.u.) = 2.4